Material: Mg2Zn2Ni
Method: DFT, PBE-GGA
State: relaxed

**Energy**: -2.3808 eV/atom
**Crystal system**: orthorhombic
**Space-group type**: Ibam, No. 72

Cell lengths 6.9895, 6.9895, 6.9895 Å; angles 132.68, 65.10, 138.00 degrees
Closest atoms and distances in Å follow each position.
Fractional coordinates of all 10 atoms:
Mg1 0.6744 0.8191 0.4935  2 Ni 2.61, 4 Zn 2.87-2.92
Zn1 0.4191 0.6633 0.0824  2 Ni 2.46, 1 Zn 2.64
Mg2 0.1744 0.6809 0.8552  2 Ni 2.61, 4 Zn 2.87-2.92
Zn2 0.9191 0.8367 0.7558  2 Ni 2.46, 1 Zn 2.64
Ni1 0.2500 0.7500 0.5000  4 Zn 2.46, 2 Ni 2.51, 4 Mg 2.61
Mg3 0.8256 0.3191 0.1448  2 Ni 2.61, 4 Zn 2.87-2.92
Ni2 0.7500 0.2500 0.5000  4 Zn 2.46, 2 Ni 2.51, 4 Mg 2.61
Mg4 0.3256 0.1809 0.5065  2 Ni 2.61, 4 Zn 2.87-2.92
Zn3 0.0809 0.1633 0.2442  2 Ni 2.46, 1 Zn 2.64
Zn4 0.5809 0.3367 0.9176  2 Ni 2.46, 1 Zn 2.64